Compound: CsSb2ICl
Source: Alexandria
Functional: PBE-GGA
Structure: optimized geometry

POSCAR file:
```
CsSb2ICl
1.0
6.5665 0.0000 0.0000
0.0000 6.5665 0.0000
0.0000 0.0000 6.6479
Cs I Cl Sb
1 1 1 2
direct
0.0000 0.0000 0.0000
0.0000 0.0000 0.5000
0.5000 0.5000 0.5000
0.0000 0.5000 0.0000
0.5000 0.0000 0.0000
```

Crystal system: tetragonal
Space group: P4/mmm, No. 123
E_form (uncorrected) in eV per atom: 0.96